Entry from Alexandria: an optimized crystal structure of RbPtRh3 (PBE-GGA).

Cell lengths 4.737, 4.737, 4.737 Å; angles 90.00, 90.00, 90.00 degrees
Positions (direct):
Rb1 0.000 0.000 0.000
Pt1 0.500 0.500 0.500
Rh1 0.000 0.000 0.500
Rh2 0.000 0.500 0.000
Rh3 0.500 0.000 0.000

Output
energy of formation from the pure elements: 57.3 kcal/mol of atoms
magnetization: 2.57 μB per formula unit
ΔE to the lowest computed polymorph: 1408 meV per atom
space group: Pm-3m
raw total energy: -16.63 eV per cell